# YReHg PBE optimized geometry
data_YReHg
_chemical_formula_sum 'Y1 Re1 Hg1'
_cell_length_a 3.3086
_cell_length_b 3.3086
_cell_length_c 6.9351
_cell_angle_alpha 90.00
_cell_angle_beta 90.00
_cell_angle_gamma 120.00
_space_group_name_H-M_alt 'P 3 m 1'
_space_group_IT_number 156
loop_
_space_group_symop_operation_xyz
'x,y,z'
'-y,x-y,z'
'-x+y,-x,z'
'-y,-x,z'
'-x+y,y,z'
'x,x-y,z'
loop_
_atom_site_label
_atom_site_type_symbol
_atom_site_fract_x
_atom_site_fract_y
_atom_site_fract_z
Y1 Y 0.0000 0.0000 0.0000
Re1 Re 0.3333 0.6667 0.6957
Hg1 Hg 0.6667 0.3333 0.3779
# E_tot	-5.8472	eV/atom
# ΔE_f	0.557	eV/atom
# ΔE to the lowest computed polymorph	0.1355	eV/atom
# DOS at the Fermi energy	3.2	states/eV/f.u.